1.
Compound: MgCu2W
Source: Alexandria via LeMat-Bulk
Functional: PBE-GGA
Structure: optimized geometry

energy of formation: 0.3295 eV/atom
spin magnetization: 0.0 Bohr magnetons per cell
space-group type: Imm2 (44)

a = 5.426 Å, b = 5.426 Å, c = 5.426 Å
α = 151.50°, β = 129.46°, γ = 59.04°
Sites, in units of the cell vectors:
1 Cu 0.987 0.987 0.000
2 Cu 0.764 0.264 0.500
3 W 0.235 0.735 0.500
4 Mg 0.514 0.514 0.000

***

2.
Compound: HfAlAg
Source: Alexandria via LeMat-Bulk
Functional: PBE-GGA
Structure: optimized geometry

energy of formation: -0.1696 eV/atom
spin magnetization: 0.0 Bohr magnetons per cell
space-group type: P2_1 (4)

a = 2.946 Å, b = 7.542 Å, c = 5.078 Å
α = 90.00°, β = 89.99°, γ = 101.09°
Sites, in units of the cell vectors:
1 Hf 0.598 0.670 0.534
2 Hf 0.740 0.946 0.034
3 Ag 0.414 0.301 0.205
4 Ag 0.923 0.314 0.705
5 Al 0.271 0.013 0.533
6 Al 0.066 0.602 0.033

***

3.
Compound: InHg2F
Source: Alexandria via LeMat-Bulk
Functional: PBE-GGA
Structure: optimized geometry

spin magnetization: 0.0 Bohr magnetons per cell
formation energy without anion corrections: -568 meV/atom
polymorph energy (0 for the lowest one): 252 meV per atom
space-group type: R-3m (166)

a = 3.292 Å, b = 3.292 Å, c = 9.773 Å
α = 80.30°, β = 80.30°, γ = 60.00°
Sites, in units of the cell vectors:
1 Hg 0.899 0.899 0.304
2 Hg 0.101 0.101 0.696
3 F 0.500 0.500 0.500
4 In 0.000 0.000 0.000

***

4.
Compound: CaPd6Au4
Source: Alexandria via LeMat-Bulk
Functional: PBE-GGA
Structure: optimized geometry

energy of formation: -0.0270 eV/atom
spin magnetization: 0.0 Bohr magnetons per cell
space-group type: I-42m (121)

a = 6.942 Å, b = 6.942 Å, c = 6.942 Å
α = 83.00°, β = 124.12°, γ = 124.12°
Sites, in units of the cell vectors:
1 Pd 0.500 0.500 0.000
2 Pd 0.000 0.751 0.436
3 Pd 0.315 0.564 0.564
4 Pd 0.000 0.436 0.751
5 Pd 0.685 0.249 0.249
6 Pd 0.500 0.000 0.500
7 Ca 0.000 0.000 0.000
8 Au 0.000 0.564 0.090
9 Au 0.526 0.436 0.436
10 Au 0.000 0.090 0.564
11 Au 0.474 0.910 0.910